No. 1
# La2TlCr (PBE-GGA, relaxed)
data_La2TlCr
_chemical_formula_sum 'La8 Tl4 Cr4'
_cell_length_a 8.531
_cell_length_b 8.531
_cell_length_c 6.427
_cell_angle_alpha 90.00
_cell_angle_beta 90.00
_cell_angle_gamma 90.00
_space_group_name_H-M_alt 'P 1'
_space_group_IT_number 1
loop_
_space_group_symop_operation_xyz
'x,y,z'
loop_
_atom_site_label
_atom_site_fract_x
_atom_site_fract_y
_atom_site_fract_z
La1 0.209 0.250 0.125
La2 0.250 0.709 0.375
La3 0.250 0.791 0.875
La4 0.291 0.250 0.625
La5 0.709 0.750 0.625
La6 0.750 0.209 0.875
La7 0.750 0.291 0.375
La8 0.791 0.750 0.125
Tl1 0.000 0.000 0.500
Tl2 0.000 0.500 0.750
Tl3 0.500 0.000 0.250
Tl4 0.500 0.500 0.000
Cr1 0.000 0.000 0.000
Cr2 0.000 0.500 0.250
Cr3 0.500 0.000 0.750
Cr4 0.500 0.500 0.500
# Formation energy from the elements = 33.7 kJ per mole of atoms
# Symmetry = I-42d
# Total magnetization = 3.60 μB per formula unit
# V = 468 Å³ per cell
# Offset from the most stable computed form = 0.3085 eV per atom

***

No. 2
# CsMgSiTe4 (PBE-GGA, relaxed)
data_CsMgSiTe4
_chemical_formula_sum 'Cs2 Mg2 Si2 Te8'
_cell_length_a 7.169
_cell_length_b 7.294
_cell_length_c 11.227
_cell_angle_alpha 90.00
_cell_angle_beta 106.94
_cell_angle_gamma 90.00
_space_group_name_H-M_alt 'P 1'
_space_group_IT_number 1
loop_
_space_group_symop_operation_xyz
'x,y,z'
loop_
_atom_site_label
_atom_site_fract_x
_atom_site_fract_y
_atom_site_fract_z
Cs1 0.217 0.250 0.048
Cs2 0.783 0.750 0.952
Mg1 0.277 0.250 0.660
Mg2 0.723 0.750 0.340
Si1 0.218 0.750 0.312
Si2 0.782 0.250 0.688
Te1 0.017 0.515 0.707
Te2 0.017 0.985 0.707
Te3 0.375 0.750 0.137
Te4 0.494 0.250 0.487
Te5 0.506 0.750 0.513
Te6 0.625 0.250 0.863
Te7 0.983 0.015 0.293
Te8 0.983 0.485 0.293
# Symmetry = P2_1/m
# Total magnetization = 0.00 μB per formula unit
# V = 562 Å³ per cell
# ΔE_f (raw) = -0.506 eV/atom

***

No. 3
# LiCuGeSb (PBE-GGA, relaxed)
data_LiCuGeSb
_chemical_formula_sum 'Li4 Cu4 Ge4 Sb4'
_cell_length_a 6.598
_cell_length_b 6.598
_cell_length_c 6.598
_cell_angle_alpha 90.00
_cell_angle_beta 90.00
_cell_angle_gamma 90.00
_space_group_name_H-M_alt 'P 1'
_space_group_IT_number 1
loop_
_space_group_symop_operation_xyz
'x,y,z'
loop_
_atom_site_label
_atom_site_fract_x
_atom_site_fract_y
_atom_site_fract_z
Li1 0.000 0.000 0.000
Li2 0.000 0.500 0.500
Li3 0.500 0.000 0.500
Li4 0.500 0.500 0.000
Cu1 0.000 0.000 0.500
Cu2 0.000 0.500 0.000
Cu3 0.500 0.000 0.000
Cu4 0.500 0.500 0.500
Ge1 0.250 0.250 0.250
Ge2 0.250 0.750 0.750
Ge3 0.750 0.250 0.750
Ge4 0.750 0.750 0.250
Sb1 0.250 0.250 0.750
Sb2 0.250 0.750 0.250
Sb3 0.750 0.250 0.250
Sb4 0.750 0.750 0.750
# Symmetry = F-43m
# Total magnetization = 0.00 μB per formula unit
# V = 287 Å³ per cell
# ΔE_f (raw) = -0.019 eV/atom

***

No. 4
# K3Sb5Pt6 (PBE-GGA, relaxed)
data_K3Sb5Pt6
_chemical_formula_sum 'K6 Sb10 Pt12'
_cell_length_a 4.423
_cell_length_b 13.438
_cell_length_c 11.510
_cell_angle_alpha 90.00
_cell_angle_beta 90.00
_cell_angle_gamma 90.00
_space_group_name_H-M_alt 'P 1'
_space_group_IT_number 1
loop_
_space_group_symop_operation_xyz
'x,y,z'
loop_
_atom_site_label
_atom_site_fract_x
_atom_site_fract_y
_atom_site_fract_z
K1 0.250 0.106 0.244
K2 0.250 0.394 0.244
K3 0.250 0.750 0.241
K4 0.750 0.250 0.759
K5 0.750 0.606 0.756
K6 0.750 0.894 0.756
Sb1 0.250 0.074 0.648
Sb2 0.250 0.426 0.648
Sb3 0.250 0.618 0.992
Sb4 0.250 0.750 0.586
Sb5 0.250 0.882 0.992
Sb6 0.750 0.118 0.008
Sb7 0.750 0.250 0.414
Sb8 0.750 0.382 0.008
Sb9 0.750 0.574 0.352
Sb10 0.750 0.926 0.352
Pt1 0.250 0.059 0.883
Pt2 0.250 0.250 0.536
Pt3 0.250 0.250 0.987
Pt4 0.250 0.441 0.883
Pt5 0.250 0.571 0.483
Pt6 0.250 0.929 0.483
Pt7 0.750 0.071 0.517
Pt8 0.750 0.429 0.517
Pt9 0.750 0.559 0.117
Pt10 0.750 0.750 0.013
Pt11 0.750 0.750 0.464
Pt12 0.750 0.941 0.117
# Symmetry = Pmmn
# Total magnetization = 0.00 μB per formula unit
# V = 684 Å³ per cell
# ΔE_f (raw) = -0.424 eV/atom

***

No. 5
# ZrTiAlCd (PBE-GGA, relaxed)
data_ZrTiAlCd
_chemical_formula_sum 'Zr4 Ti4 Al4 Cd4'
_cell_length_a 6.745
_cell_length_b 6.745
_cell_length_c 6.745
_cell_angle_alpha 90.00
_cell_angle_beta 90.00
_cell_angle_gamma 90.00
_space_group_name_H-M_alt 'P 1'
_space_group_IT_number 1
loop_
_space_group_symop_operation_xyz
'x,y,z'
loop_
_atom_site_label
_atom_site_fract_x
_atom_site_fract_y
_atom_site_fract_z
Zr1 0.000 0.000 0.000
Zr2 0.000 0.500 0.500
Zr3 0.500 0.000 0.500
Zr4 0.500 0.500 0.000
Ti1 0.000 0.000 0.500
Ti2 0.000 0.500 0.000
Ti3 0.500 0.000 0.000
Ti4 0.500 0.500 0.500
Al1 0.250 0.250 0.750
Al2 0.250 0.750 0.250
Al3 0.750 0.250 0.250
Al4 0.750 0.750 0.750
Cd1 0.250 0.250 0.250
Cd2 0.250 0.750 0.750
Cd3 0.750 0.250 0.750
Cd4 0.750 0.750 0.250
# Formation energy from the elements = -10.9 kJ per mole of atoms
# Symmetry = F-43m
# Total magnetization = 0.00 μB per formula unit
# V = 307 Å³ per cell
# Offset from the most stable computed form = 0.1292 eV per atom

***

No. 6
# Tm2SnRh3 (PBE-GGA, relaxed)
data_Tm2SnRh3
_chemical_formula_sum 'Tm4 Sn2 Rh6'
_cell_length_a 4.714
_cell_length_b 4.714
_cell_length_c 11.473
_cell_angle_alpha 90.00
_cell_angle_beta 90.00
_cell_angle_gamma 120.00
_space_group_name_H-M_alt 'P 1'
_space_group_IT_number 1
loop_
_space_group_symop_operation_xyz
'x,y,z'
loop_
_atom_site_label
_atom_site_fract_x
_atom_site_fract_y
_atom_site_fract_z
Tm1 0.000 0.000 0.000
Tm2 0.000 0.000 0.500
Tm3 0.333 0.667 0.175
Tm4 0.667 0.333 0.825
Sn1 0.333 0.667 0.665
Sn2 0.667 0.333 0.335
Rh1 0.000 0.000 0.252
Rh2 0.000 0.000 0.748
Rh3 0.333 0.667 0.421
Rh4 0.333 0.667 0.914
Rh5 0.667 0.333 0.086
Rh6 0.667 0.333 0.579
# Formation energy from the elements = -84.4 kJ per mole of atoms
# Symmetry = P-3m1
# Total magnetization = 0.00 μB per formula unit
# V = 221 Å³ per cell

***

No. 7
# AlIrCl3 (PBE-GGA, relaxed)
data_AlIrCl3
_chemical_formula_sum 'Al1 Ir1 Cl3'
_cell_length_a 4.866
_cell_length_b 4.866
_cell_length_c 4.866
_cell_angle_alpha 90.00
_cell_angle_beta 90.00
_cell_angle_gamma 90.00
_space_group_name_H-M_alt 'P 1'
_space_group_IT_number 1
loop_
_space_group_symop_operation_xyz
'x,y,z'
loop_
_atom_site_label
_atom_site_fract_x
_atom_site_fract_y
_atom_site_fract_z
Al1 0.000 0.000 0.000
Ir1 0.500 0.500 0.500
Cl1 0.000 0.500 0.500
Cl2 0.500 0.000 0.500
Cl3 0.500 0.500 0.000
# Symmetry = Pm-3m
# Total magnetization = 0.00 μB per formula unit
# V = 115 Å³ per cell
# Offset from the most stable computed form = 0.0000 eV per atom
# ΔE_f (raw) = 0.020 eV/atom

***

No. 8
# Tl2HgOs (PBE-GGA, relaxed)
data_Tl2HgOs
_chemical_formula_sum 'Tl8 Hg4 Os4'
_cell_length_a 8.620
_cell_length_b 8.620
_cell_length_c 11.338
_cell_angle_alpha 90.00
_cell_angle_beta 90.00
_cell_angle_gamma 90.00
_space_group_name_H-M_alt 'P 1'
_space_group_IT_number 1
loop_
_space_group_symop_operation_xyz
'x,y,z'
loop_
_atom_site_label
_atom_site_fract_x
_atom_site_fract_y
_atom_site_fract_z
Tl1 0.000 0.000 0.000
Tl2 0.000 0.500 0.000
Tl3 0.250 0.250 0.750
Tl4 0.250 0.750 0.250
Tl5 0.500 0.000 0.500
Tl6 0.500 0.500 0.500
Tl7 0.750 0.250 0.750
Tl8 0.750 0.750 0.250
Hg1 0.000 0.250 0.375
Hg2 0.000 0.750 0.625
Hg3 0.500 0.250 0.125
Hg4 0.500 0.750 0.875
Os1 0.000 0.250 0.875
Os2 0.000 0.750 0.125
Os3 0.500 0.250 0.625
Os4 0.500 0.750 0.375
# Formation energy from the elements = 101.5 kJ per mole of atoms
# Symmetry = I4_1/amd
# Total magnetization = 0.00 μB per formula unit
# V = 842 Å³ per cell
# Offset from the most stable computed form = 0.4549 eV per atom